(1)
First-principles (PBE) data for a relaxed CsGePd crystal, as listed in the Alexandria database.

```
data_CsGePd
_symmetry_space_group_name_H-M 'P -1'
_symmetry_Int_Tables_number 2
_cell_length_a 4.6559
_cell_length_b 4.6599
_cell_length_c 9.2502
_cell_angle_alpha 92.57
_cell_angle_beta 92.83
_cell_angle_gamma 100.95
loop_
_symmetry_equiv_pos_as_xyz
'x,y,z'
'-x,-y,-z'
loop_
_atom_site_label
_atom_site_fract_x
_atom_site_fract_y
_atom_site_fract_z
_atom_site_occupancy
Cs1 0.2357 0.2351 0.3178 1
Ge1 0.2995 0.3007 0.9007 1
Pd1 0.2031 0.7973 0.9999 1
```

Summary:
Its energy of formation is -0.35 eV per atom. As for the energy above the most stable polymorph in this dataset: 0 meV per atom. The total moment is 0.000 μB per formula unit. The calculation puts the energy at -23.46 eV per cell.



(2)
First-principles (PBE) data for a relaxed Cs2Ge2Pd crystal, as listed in the Alexandria database.

```
data_Cs2Ge2Pd
_symmetry_space_group_name_H-M 'P 4/m b m'
_symmetry_Int_Tables_number 127
_symmetry_space_group_name_Hall '-P 4 2ab'
_cell_length_a 6.9361
_cell_length_b 6.9361
_cell_length_c 6.1007
_cell_angle_alpha 90.00
_cell_angle_beta 90.00
_cell_angle_gamma 90.00
loop_
_atom_site_label
_atom_site_fract_x
_atom_site_fract_y
_atom_site_fract_z
_atom_site_occupancy
Cs1 0.1957 0.3043 0.0000 1
Ge1 0.1264 0.6264 0.5000 1
Pd1 0.0000 0.0000 0.5000 1
```

Summary:
Its energy of formation is 0.02 eV per atom. The total moment is 0.000 μB per formula unit. The calculation puts the energy at -32.08 eV per cell.



(3)
First-principles (PBE) data for a relaxed CsGePdPt crystal, as listed in the Alexandria database.

```
data_CsGePdPt
_symmetry_space_group_name_H-M 'C 1 m 1'
_symmetry_Int_Tables_number 8
_cell_length_a 7.6294
_cell_length_b 4.4057
_cell_length_c 6.8747
_cell_angle_alpha 90.00
_cell_angle_beta 90.14
_cell_angle_gamma 90.00
loop_
_symmetry_equiv_pos_as_xyz
'x,y,z'
'x,-y,z'
'x+1/2,y+1/2,z'
'x+1/2,-y+1/2,z'
loop_
_atom_site_label
_atom_site_fract_x
_atom_site_fract_y
_atom_site_fract_z
_atom_site_occupancy
Cs1 0.0000 0.0000 0.0000 1
Ge1 0.3342 0.0000 0.4503 1
Pd1 0.0010 0.0000 0.5234 1
Pt1 0.1674 0.5000 0.3975 1
```

Summary:
Its energy of formation is -0.29 eV per atom. The total moment is 0.000 μB per formula unit. The calculation puts the energy at -35.77 eV per cell.



(4)
First-principles (PBE) data for a relaxed CsReGe2Pd crystal, as listed in the Alexandria database.

```
data_CsReGe2Pd
_symmetry_space_group_name_H-M 'P 4/m m m'
_symmetry_Int_Tables_number 123
_symmetry_space_group_name_Hall '-P 4 2'
_cell_length_a 5.5391
_cell_length_b 5.5391
_cell_length_c 5.1685
_cell_angle_alpha 90.00
_cell_angle_beta 90.00
_cell_angle_gamma 90.00
loop_
_atom_site_label
_atom_site_fract_x
_atom_site_fract_y
_atom_site_fract_z
_atom_site_occupancy
Cs1 0.0000 0.0000 0.0000 1
Re1 0.0000 0.0000 0.5000 1
Ge1 0.0000 0.5000 0.0000 1
Pd1 0.5000 0.5000 0.5000 1
```

Summary:
Its energy of formation is 2.85 eV per atom. The total moment is 2.270 μB per formula unit. The calculation puts the energy at -13.48 eV per cell.



(5)
First-principles (PBE) data for a relaxed CsGePdRh2 crystal, as listed in the Alexandria database.

```
data_CsGePdRh2
_symmetry_space_group_name_H-M 'P 4/m m m'
_symmetry_Int_Tables_number 123
_symmetry_space_group_name_Hall '-P 4 2'
_cell_length_a 5.0006
_cell_length_b 5.0006
_cell_length_c 5.1174
_cell_angle_alpha 90.00
_cell_angle_beta 90.00
_cell_angle_gamma 90.00
loop_
_atom_site_label
_atom_site_fract_x
_atom_site_fract_y
_atom_site_fract_z
_atom_site_occupancy
Cs1 0.0000 0.0000 0.0000 1
Ge1 0.5000 0.5000 0.5000 1
Pd1 0.0000 0.0000 0.5000 1
Rh1 0.0000 0.5000 0.0000 1
```

Summary:
Its energy of formation is 1.85 eV per atom. The total moment is 0.000 μB per formula unit. The calculation puts the energy at -16.10 eV per cell.



(6)
First-principles (PBE) data for a relaxed CsGePd2Rh crystal, as listed in the Alexandria database.

```
data_CsGePd2Rh
_symmetry_space_group_name_H-M 'P 4/m m m'
_symmetry_Int_Tables_number 123
_symmetry_space_group_name_Hall '-P 4 2'
_cell_length_a 5.1876
_cell_length_b 5.1876
_cell_length_c 5.0454
_cell_angle_alpha 90.00
_cell_angle_beta 90.00
_cell_angle_gamma 90.00
loop_
_atom_site_label
_atom_site_fract_x
_atom_site_fract_y
_atom_site_fract_z
_atom_site_occupancy
Cs1 0.0000 0.0000 0.0000 1
Ge1 0.5000 0.5000 0.5000 1
Pd1 0.0000 0.5000 0.0000 1
Rh1 0.0000 0.0000 0.5000 1
```

Summary:
Its energy of formation is 1.67 eV per atom. The total moment is 0.000 μB per formula unit. The calculation puts the energy at -14.87 eV per cell.